The following is a DFT calculation (GGA-PBE) of a relaxed Ni3RuS crystal.

Properties
Its space group is Pm-3m, No. 221. The energy above the most stable polymorph in this dataset is 0 meV per atom. The calculation puts the uncorrected formation energy at 433 meV per atom.

Cell lengths 4.106, 4.106, 4.106 Å; angles 90.00, 90.00, 90.00 degrees
Positions (direct):
Ni1 0.000 0.000 0.500
Ni2 0.000 0.500 0.000
Ni3 0.500 0.000 0.000
Ru1 0.500 0.500 0.500
S1 0.000 0.000 0.000


The following is a DFT calculation (GGA-PBE) of a relaxed Ce2Sm2Os3 crystal.

Properties
Its space group is C2/m, No. 12. As for the formation energy: -84 kJ/mol of formula units.

Cell lengths 4.763, 4.763, 8.772 Å; angles 105.77, 105.77, 59.92 degrees
Positions (direct):
Ce1 0.123 0.123 0.368
Ce2 0.877 0.877 0.632
Sm1 0.374 0.374 0.121
Sm2 0.626 0.626 0.879
Os1 0.244 0.244 0.733
Os2 0.500 0.500 0.500
Os3 0.756 0.756 0.267


The following is a DFT calculation (GGA-PBE) of a relaxed KAs2N2 crystal.

Properties
Its space group is I4/mmm, No. 139. The energy above the most stable polymorph in this dataset is 0 meV per atom. The calculation puts the uncorrected formation energy at 660 meV per atom.

Cell lengths 6.289, 6.289, 6.289 Å; angles 140.29, 140.29, 57.42 degrees
Positions (direct):
K1 0.000 0.000 0.000
As1 0.250 0.750 0.500
As2 0.750 0.250 0.500
N1 0.270 0.270 0.000
N2 0.730 0.730 0.000


Result set for DOS(E_F): 6.97, 3.95, 2.56 states/eV per cell, one per record in the order listed.
Result set for total magnetization: 3.17, 0.00, 0.00 μB per cell, one per record in the order listed.